# Mg3Si2Pt4, optimized geometry, DFT PBE-GGA
# E_form (uncorrected): -0.757 eV per atom
# Fermi-level density of states: 2.52 states/eV/f.u.
# crystal system: monoclinic
# final energy: -0.3806 Ry per atom
# magnetization: 0.0 μB/cell
data_Mg3Si2Pt4
_chemical_formula_sum 'Mg3 Si2 Pt4'
_cell_length_a 4.2359
_cell_length_b 5.3422
_cell_length_c 8.1975
_cell_angle_alpha 117.18
_cell_angle_beta 90.00
_cell_angle_gamma 113.36
_symmetry_space_group_name_H-M 'P 1'
_symmetry_Int_Tables_number 1
loop_
_symmetry_equiv_pos_as_xyz
'x,y,z'
loop_
_atom_site_label
_atom_site_fract_x
_atom_site_fract_y
_atom_site_fract_z
Mg1 0.6441 0.2882 0.6895
Mg2 0.0000 0.0000 0.0000
Mg3 0.3559 0.7118 0.3105
Si1 0.6615 0.3231 0.3288
Si2 0.3385 0.6769 0.6712
Pt1 0.7219 0.4437 0.0862
Pt2 0.2781 0.5563 0.9138
Pt3 0.9265 0.8531 0.6099
Pt4 0.0735 0.1469 0.3901